# Er2OsS PBE relaxed
data_Er2OsS
_space_group_name_H-M_alt 'P 4/m m m'
_space_group_IT_number 123
_space_group_name_Hall '-P 4 2'
_cell_length_a 3.366
_cell_length_b 3.366
_cell_length_c 7.030
_cell_angle_alpha 90.00
_cell_angle_beta 90.00
_cell_angle_gamma 90.00
loop_
_atom_site_label
_atom_site_fract_x
_atom_site_fract_y
_atom_site_fract_z
Er1 0.000 0.000 0.240
Os1 0.500 0.500 0.000
S1 0.500 0.500 0.500
# - ΔE_f (raw) (meV/atom) = -945
# - E (eV/cell) = -28.26
# - spin magnetization (μB/f.u.) = 0.0